A geometry-optimized LiCoP3O9 structure. Source: the Alexandria database, functional PBE with a Hubbard U.

Summary:
**Offset from the most stable computed form**: 0.0000 eV/atom

a b c (Å): 8.462 8.637 8.761
angles (deg): 90.00 90.00 90.00
Space group P2_12_12_1 (No. 19)
Asymmetric unit:
Li: 0.151 0.133 0.384 [4 per cell]
Co: 0.129 0.856 0.157 [4 per cell]
P: 0.030 0.322 0.683 [4 per cell]
P: 0.186 0.478 0.189 [4 per cell]
P: 0.201 0.810 0.560 [4 per cell]
O: 0.040 0.775 0.654 [4 per cell]
O: 0.090 0.613 0.133 [4 per cell]
O: 0.103 0.874 0.919 [4 per cell]
O: 0.119 0.382 0.318 [4 per cell]
O: 0.133 0.193 0.623 [4 per cell]
O: 0.139 0.466 0.736 [4 per cell]
O: 0.159 0.863 0.403 [4 per cell]
O: 0.190 0.091 0.156 [4 per cell]
O: 0.227 0.363 0.048 [4 per cell]